(1)
A plane-wave DFT calculation with meta-GGA SCAN was carried out for a PBEsol-optimized structure of YBPt2.

**D(E_F)**: 2.51 states/eV per cell
**Volume**: 191.1 Å³/cell
**Size of the total moment**: 0.0000 μB/atom
**Uncorrected energy**: -541.52 eV per cell

Unit cell a=5.2954 b=5.2954 c=7.8697 alpha=90.00 beta=90.00 gamma=120.00
Element x y z (fractional)
1 Y 0.5000 0.5000 0.0000
2 Y 0.0000 0.5000 0.3333
3 Y 0.5000 0.0000 0.6667
4 B 0.5000 0.0000 0.1667
5 B 0.5000 0.5000 0.5000
6 B 0.0000 0.5000 0.8333
7 Pt 0.6983 0.8492 0.3333
8 Pt 0.1508 0.8492 0.0000
9 Pt 0.8492 0.1508 0.0000
10 Pt 0.1508 0.3017 0.6667
11 Pt 0.8492 0.6983 0.6667
12 Pt 0.3017 0.1508 0.3333


(2)
A plane-wave DFT calculation with meta-GGA SCAN was carried out for a PBEsol-optimized structure of ZrB2Pt.

**D(E_F)**: 3.68 states/eV per cell
**Volume**: 110.8 Å³/cell
**Size of the total moment**: 0.0000 μB/atom
**Uncorrected energy**: -233.78 eV per cell

Unit cell a=3.9177 b=3.9177 c=7.7295 alpha=104.68 beta=104.68 gamma=90.00
Element x y z (fractional)
1 B 0.1250 0.8750 0.7500
2 B 0.6250 0.8750 0.7500
3 B 0.1250 0.3750 0.2500
4 B 0.1250 0.8750 0.2500
5 Pt 0.2500 0.7500 0.5000
6 Pt 0.0000 0.0000 0.0000
7 Zr 0.7500 0.2500 0.5000
8 Zr 0.5000 0.5000 0.0000


(3)
A plane-wave DFT calculation with meta-GGA SCAN was carried out for a PBEsol-optimized structure of PuB2Rh3.

**D(E_F)**: 7.99 states/eV per cell
**Volume**: 76.8 Å³/cell
**Size of the total moment**: 0.9175 μB/atom
**Uncorrected energy**: -229.97 eV per cell

Unit cell a=2.8932 b=5.5371 c=5.5371 alpha=120.00 beta=90.00 gamma=90.00
Site moments in Bohr magnetons follow the coordinates.
Element x y z (fractional)
1 Rh 0.0000 0.5000 0.0000  0.04
2 Rh 0.0000 0.0000 0.5000  0.04
3 Rh 0.0000 0.5000 0.5000  0.04
4 B 0.5000 0.3333 0.6667  -0.03
5 B 0.5000 0.6667 0.3333  -0.03
6 Pu 0.5000 0.0000 0.0000  5.32


(4)
A plane-wave DFT calculation with meta-GGA SCAN was carried out for a PBEsol-optimized structure of PuB2Ru.

**D(E_F)**: 24.65 states/eV per cell
**Volume**: 190.2 Å³/cell
**Size of the total moment**: 1.0775 μB/atom
**Uncorrected energy**: -645.55 eV per cell

Unit cell a=5.3184 b=5.6291 c=6.3520 alpha=90.00 beta=90.00 gamma=90.00
Site moments in Bohr magnetons follow the coordinates.
Element x y z (fractional)
1 B 0.9152 0.6333 0.4619  -0.09
2 B 0.9152 0.1333 0.0381  -0.09
3 B 0.5848 0.1333 0.0381  -0.09
4 B 0.0848 0.3667 0.5381  -0.09
5 B 0.4152 0.8667 0.9619  -0.09
6 B 0.5848 0.6333 0.4619  -0.09
7 B 0.4152 0.3667 0.5381  -0.09
8 B 0.0848 0.8667 0.9619  -0.09
9 Ru 0.2500 0.6916 0.6821  -0.35
10 Ru 0.7500 0.3084 0.3179  -0.35
11 Ru 0.2500 0.1916 0.8179  -0.35
12 Ru 0.7500 0.8084 0.1821  -0.35
13 Pu 0.2500 0.9981 0.3348  4.70
14 Pu 0.7500 0.0019 0.6652  4.70
15 Pu 0.7500 0.5019 0.8348  4.70
16 Pu 0.2500 0.4981 0.1652  4.70